[1]
A relaxed structure of LaSeCl2, computed with GGA-PBEsol.

Cell lengths 4.3385, 4.3483, 5.5612 Å; angles 113.01, 112.96, 90.00 degrees
Atoms (fractional coordinates):
Cl  0.0004  0.0004  0.0007
Cl  0.7506  0.2506  0.5012
Se  0.2498  0.7498  0.4996
La  0.4993  0.4993  0.9986

## Properties
* V: 87.5 Å³ per cell
* space group: Imm2
* density of states at the Fermi level: 0.6122 states/eV/atom
* energy above the most stable polymorph in this dataset: 0 meV/atom
* raw formation energy: -1.542 eV per atom
* size of the total moment: 0.000 μB per atom

=====

[2]
A relaxed structure of CoSNCl2, computed with GGA-PBEsol.

Cell lengths 4.1132, 4.6791, 4.6791 Å; angles 90.00, 90.00, 90.00 degrees
Each line ends with the local moment (μB).
Atoms (fractional coordinates):
S  0.5000  0.0000  0.0000  -0.05
N  0.5000  0.5000  0.5000  1.81
Co  0.0000  0.0000  0.0000  -0.32
Cl  0.0000  0.0000  0.5000  0.04
Cl  0.0000  0.5000  0.0000  0.04

## Properties
* V: 90.1 Å³ per cell
* space group: P4/mmm
* density of states at the Fermi level: 0.8890 states/eV/atom
* raw formation energy: 1.037 eV per atom
* size of the total moment: 0.479 μB per atom